No. 1
Compound: NaLiF3
Source: Alexandria
Functional: PBE
Structure: optimized geometry

The offset from the most stable computed form comes out at 56.4 meV/atom. For the uncorrected formation energy, the calculation gives -2.16 eV per atom. The value obtained for the size of the total moment is 1.0 Bohr magnetons per cell.

The structure belongs to space group Pm-3m (No. 221); the cell edges are 3.8500, 3.8500 and 3.8500 Å and the angles 90.00°, 90.00° and 90.00°. The inequivalent atoms are Na at (0.0000, 0.0000, 0.0000), Li at (0.5000, 0.5000, 0.5000) and F at (0.0000, 0.5000, 0.5000).


No. 2
Compound: Na3LiF3
Source: Alexandria
Functional: PBE
Structure: optimized geometry

For the uncorrected formation energy, the calculation gives -2.22 eV per atom. The value obtained for the size of the total moment is 0.0 Bohr magnetons per cell.

The structure belongs to space group C2/m (No. 12); the cell edges are 7.9295, 9.9907 and 5.6463 Å and the angles 90.00°, 96.25° and 90.00°. The inequivalent atoms are Na at (0.0000, 0.1736, 0.0000), Na at (0.0000, 0.3008, 0.5000), Na at (0.1892, 0.5000, 0.9811), Li at (0.1497, 0.0000, 0.4336), F at (0.0799, 0.0000, 0.7447) and F at (0.2223, 0.1570, 0.2877).


No. 3
Compound: NaLiF2
Source: Alexandria
Functional: PBE
Structure: optimized geometry

The offset from the most stable computed form comes out at 39.2 meV/atom. For the uncorrected formation energy, the calculation gives -2.76 eV per atom. The value obtained for the size of the total moment is 0.0 Bohr magnetons per cell.

The structure belongs to space group R3m (No. 160, hexagonal axes); the cell edges are 3.0431, 3.0431 and 15.9460 Å and the angles 90.00°, 90.00° and 120.00°. The inequivalent atoms are Na at (0.0000, 0.0000, 0.0000), Li at (0.0000, 0.0000, 0.8298), F at (0.0000, 0.0000, 0.2387) and F at (0.0000, 0.0000, 0.4249).


No. 4
Compound: Na4LiF5
Source: Alexandria
Functional: PBE
Structure: optimized geometry

The offset from the most stable computed form comes out at 8.1 meV/atom. For the uncorrected formation energy, the calculation gives -2.74 eV per atom. The value obtained for the size of the total moment is 0.2 Bohr magnetons per cell.

The structure belongs to space group I4/mmm (No. 139); the cell edges are 3.2636, 3.2636 and 22.7941 Å and the angles 90.00°, 90.00° and 90.00°. The inequivalent atoms are Na at (0.0000, 0.0000, 0.0962), Na at (0.0000, 0.0000, 0.3021), Li at (0.0000, 0.0000, 0.5000), F at (0.0000, 0.0000, 0.0000), F at (0.0000, 0.0000, 0.1986) and F at (0.0000, 0.0000, 0.4075).


No. 5
Compound: NaLiF2
Source: Alexandria
Functional: PBE
Structure: optimized geometry

The offset from the most stable computed form comes out at 180.7 meV/atom. For the uncorrected formation energy, the calculation gives -2.62 eV per atom. The value obtained for the size of the total moment is 0.0 Bohr magnetons per cell.

The structure belongs to space group R-3m (No. 166, hexagonal axes); the cell edges are 3.4348, 3.4348 and 17.8734 Å and the angles 90.00°, 90.00° and 120.00°. The inequivalent atoms are Na at (0.0000, 0.0000, 0.0000), Li at (0.0000, 0.0000, 0.5000) and F at (0.0000, 0.0000, 0.4043).


No. 6
Compound: NaLiF2
Source: Alexandria
Functional: PBE
Structure: optimized geometry

The offset from the most stable computed form comes out at 1.2 meV/atom. For the uncorrected formation energy, the calculation gives -2.80 eV per atom. The value obtained for the size of the total moment is 0.0 Bohr magnetons per cell.

The structure belongs to space group R-3m (No. 166, hexagonal axes); the cell edges are 3.0919, 3.0919 and 15.3787 Å and the angles 90.00°, 90.00° and 120.00°. The inequivalent atoms are Na at (0.0000, 0.0000, 0.0000), Li at (0.0000, 0.0000, 0.5000) and F at (0.0000, 0.0000, 0.2411).


No. 7
Compound: NaLiF2
Source: Alexandria
Functional: PBE
Structure: optimized geometry

The offset from the most stable computed form comes out at 229.3 meV/atom. For the uncorrected formation energy, the calculation gives -2.57 eV per atom. The value obtained for the size of the total moment is 0.0 Bohr magnetons per cell.

The structure belongs to space group Fm-3m (No. 225); the cell edges are 5.4579, 5.4579 and 5.4579 Å and the angles 90.00°, 90.00° and 90.00°. The inequivalent atoms are Na at (0.0000, 0.0000, 0.0000), Li at (0.0000, 0.0000, 0.5000) and F at (0.2500, 0.2500, 0.2500).


No. 8
Compound: Na3Li4F8
Source: Alexandria
Functional: PBE
Structure: optimized geometry

For the uncorrected formation energy, the calculation gives -2.58 eV per atom. The value obtained for the size of the total moment is 2.3 Bohr magnetons per cell.

The structure belongs to space group C2/m (No. 12); the cell edges are 8.7939, 8.8160 and 6.1380 Å and the angles 90.00°, 134.21° and 90.00°. The inequivalent atoms are Na at (0.0000, 0.0000, 0.0000), Na at (0.2500, 0.2500, 0.5000), Li at (0.0000, 0.5000, 0.0000), Li at (0.0000, 0.5000, 0.5000), Li at (0.2500, 0.2500, 0.0000), F at (0.0000, 0.2576, 0.0000), F at (0.0000, 0.2687, 0.5000), F at (0.2132, 0.5000, 0.4720) and F at (0.2248, 0.5000, 0.9720).


Number 1: raw total energy -3.932 eV/atom. Number 2: raw total energy -3.864 eV/atom. Number 3: raw total energy -4.507 eV/atom. Number 4: raw total energy -4.396 eV/atom. Number 5: raw total energy -4.365 eV/atom. Number 6: raw total energy -4.545 eV/atom. Number 7: raw total energy -4.316 eV/atom. Number 8: raw total energy -4.355 eV/atom.